Material: Rb3Y3NbO8
Method: DFT, PBE-GGA
State: relaxed

Cell and atoms, written as extended XYZ:
```
15
Lattice="-1.965 5.318 -3.895 3.603 -5.156 -2.784 -7.354 -1.469 1.705" Properties=species:S:1:pos:R:3 pbc="T T T"
Rb 0.000 0.000 0.000
Rb 1.801 -2.578 -1.392
Rb 0.819 0.081 -3.339
Y -4.660 1.925 -1.095
Y -2.858 -0.653 -2.487
Y -1.875 -3.312 -0.540
Nb -3.677 -0.735 0.853
O -0.953 -1.853 -2.049
O -4.763 0.546 -2.925
O -1.947 0.709 -4.123
O -3.769 -2.016 -0.850
O -3.873 3.465 -2.635
O -1.844 -4.771 -2.338
O -2.822 0.622 -0.554
O -2.894 -1.929 -4.420
```

- electronic total energy (eV/atom) = -7.444
- M_tot (μB/f.u.) = 1.01
- N(E_F) (states/eV per cell) = 1.64
- calculated volume (Å³ per atom) = 17.99
- crystal system = trigonal
- space group = R-3m (166)

Material: PmTmTa
Method: DFT, PBE-GGA
State: relaxed

Cell and atoms, written as extended XYZ:
```
6
Lattice="3.587 -0.074 0.530 -0.049 5.261 1.079 2.339 0.566 9.025" Properties=species:S:1:pos:R:3 pbc="T T T"
Ta 3.673 5.075 6.849
Ta 2.204 0.678 3.785
Tm 4.032 3.326 4.185
Tm 1.845 2.427 6.449
Pm 5.069 4.562 9.723
Pm 0.809 1.190 0.911
```

- M_tot (μB/f.u.) = 0.00
- N(E_F) (states/eV per cell) = 8.54
- calculated volume (Å³ per atom) = 26.89
- crystal system = monoclinic
- space group = P2_1/m (11)
- energy of formation (eV per atom) = 0.240

Material: Ta2PdPt2
Method: DFT, PBE-GGA
State: relaxed

Cell and atoms, written as extended XYZ:
```
10
Lattice="-3.721 6.817 -0.683 -5.018 -3.241 -5.010 -1.700 -0.711 2.163" Properties=species:S:1:pos:R:3 pbc="T T T"
Pd 0.000 0.000 0.000
Pd -4.369 1.788 -2.847
Pt -5.756 -0.292 -4.620
Pt -6.397 3.904 -3.744
Pt -2.983 3.868 -1.073
Pt -2.342 -0.328 -1.949
Ta -4.829 -1.375 -2.381
Ta -7.510 1.504 -3.542
Ta -5.610 4.239 -1.149
Ta -2.929 1.361 0.012
```

- M_tot (μB/f.u.) = 0.00
- N(E_F) (states/eV per cell) = 5.64
- calculated volume (Å³ per atom) = 17.27
- crystal system = tetragonal
- space group = P4/mbm (127)
- excess energy over the best structure of this formula in the dataset (eV/atom) = 0.0000
- energy of formation (eV per atom) = -0.469

Material: Ti2SeS
Method: DFT, PBE-GGA
State: relaxed

Cell and atoms, written as extended XYZ:
```
4
Lattice="3.554 0.000 0.000 -1.777 3.078 0.000 0.000 0.000 7.468" Properties=species:S:1:pos:R:3 pbc="T T T"
Ti 1.777 1.026 6.220
Ti 0.000 0.000 2.737
Se 0.000 0.000 0.222
S 1.777 1.026 3.891
```

- M_tot (μB/f.u.) = 0.14
- N(E_F) (states/eV per cell) = 2.06
- calculated volume (Å³ per atom) = 20.42
- crystal system = trigonal
- space group = P3m1 (156)
- excess energy over the best structure of this formula in the dataset (eV/atom) = 0.3072

Question: Among the records above, which one has the lowest N(E_F)?
Answer: Rb3Y3NbO8

Question: Number 4 is which compound?
Answer: Ti2SeS

Question: Among the records above, which one has the highest N(E_F)?
Answer: PmTmTa